Here is an optimized crystal structure of NiH2Se from Alexandria via LeMat-Bulk. Energies are from PBE.

Cell lengths 3.716, 3.716, 3.716 Å; angles 60.00, 60.00, 60.00 degrees
Fractional coordinates of all 4 atoms:
Ni1 0.000 0.000 0.000
Se1 0.500 0.500 0.500
H1 0.250 0.250 0.250
H2 0.750 0.750 0.750

Summary:
space group	Fm-3m
E_tot	-3.22	eV per atom